VPH6C2N3O7 | GGA+U | relaxed

```
VPH6C2N3O7
1.0
6.275 0.000 0.000
2.927 8.538 0.000
1.875 3.584 8.143
V P H C N O
2 2 12 4 6 14
direct
0.167 0.155 0.041
0.833 0.845 0.959
0.337 0.894 0.874
0.663 0.106 0.126
0.161 0.548 0.569
0.231 0.693 0.374
0.272 0.248 0.631
0.420 0.182 0.475
0.455 0.585 0.176
0.471 0.641 0.762
0.529 0.359 0.238
0.545 0.415 0.824
0.580 0.818 0.525
0.728 0.752 0.369
0.769 0.307 0.626
0.839 0.452 0.431
0.011 0.534 0.906
0.337 0.440 0.408
0.663 0.560 0.592
0.989 0.466 0.094
0.228 0.572 0.451
0.339 0.280 0.512
0.444 0.466 0.259
0.556 0.534 0.741
0.661 0.720 0.488
0.772 0.428 0.549
0.056 0.304 0.173
0.095 0.427 0.842
0.148 0.803 0.980
0.209 0.974 0.198
0.255 0.084 0.865
0.389 0.891 0.707
0.456 0.204 0.015
0.544 0.796 0.985
0.611 0.109 0.293
0.745 0.916 0.135
0.791 0.026 0.802
0.852 0.197 0.020
0.905 0.573 0.158
0.944 0.696 0.827
```

Output
- space group = P-1
- E_tot (eV per cell) = -265.247
- crystal system = triclinic
- N(E_F) (states/eV/cell) = 0.000
- V (Å³ per atom) = 10.9